[1]
Density functional theory data (PBE) for a relaxed structure of ZrGaPb.

Calculated values
The excess energy over the best structure of this formula in the dataset comes out at 0.116 eV per atom. Its space group is F-43m, No. 216.

```
3
Lattice="0.000 3.557 3.557 3.557 0.000 3.557 3.557 3.557 0.000" Properties=species:S:1:pos:R:3 pbc="T T T"
Zr 0.000 0.000 0.000
Ga 5.335 5.335 5.335
Pb 3.557 3.557 3.557
```

=====

[2]
Density functional theory data (PBE) for a relaxed structure of Nb2BPd.

Calculated values
The calculation puts the final energy at -29.6 eV for the cell shown. Its space group is F-43m, No. 216.

```
4
Lattice="0.000 3.105 3.105 3.105 0.000 3.105 3.105 3.105 0.000" Properties=species:S:1:pos:R:3 pbc="T T T"
Nb 0.000 0.000 0.000
Nb 1.553 1.553 1.553
B 3.105 3.105 3.105
Pd 4.658 4.658 4.658
```

=====

[3]
Density functional theory data (PBE) for a relaxed structure of CsTmTeO.

Calculated values
The excess energy over the best structure of this formula in the dataset comes out at 0.497 eV per atom. Its space group is P4/nmm, No. 129.

```
8
Lattice="4.486 0.000 0.000 0.000 4.486 0.000 0.000 0.000 10.733" Properties=species:S:1:pos:R:3 pbc="T T T"
Cs 1.122 3.365 0.000
Cs 3.365 1.122 0.000
Tm 1.122 1.122 4.731
Tm 3.365 3.365 6.002
Te 1.122 1.122 7.975
Te 3.365 3.365 2.759
O 1.122 3.365 5.367
O 3.365 1.122 5.367
```

=====

[4]
Density functional theory data (PBE) for a relaxed structure of InCoTeAuSe2.

Calculated values
The calculation puts the final energy at -48.6 eV for the cell shown. Its space group is Cmcm, No. 63.

```
12
Lattice="1.763 -7.240 0.000 1.763 7.240 0.000 0.000 0.000 10.496" Properties=species:S:1:pos:R:3 pbc="T T T"
In 1.763 4.454 7.872
In 1.763 -4.454 2.624
Co 1.763 0.000 0.000
Co 1.763 0.000 5.248
Te 1.763 0.111 2.624
Te 1.763 -0.111 7.872
Au 1.763 4.941 2.624
Au 1.763 -4.941 7.872
Se 1.763 5.632 0.039
Se 1.763 5.632 5.209
Se 1.763 -5.632 5.287
Se 1.763 -5.632 10.457
```